A plane-wave DFT calculation with PBE-GGA was carried out for an optimized crystal structure of Tm4CdAg3.

a b c (Å): 3.610 5.120 10.220
angles (deg): 90.00 90.00 90.00
Space group Pmmm (No. 47)
Symmetry-distinct sites (fractional):
Tm 0.000 0.000 0.000
Tm 0.000 0.000 0.500
Tm 0.000 0.500 0.244
Cd 0.500 0.500 0.500
Ag 0.500 0.000 0.253
Ag 0.500 0.500 0.000

Values from the calculation:
- Energy of formation: -0.324 eV per atom
- Calculated total energy: -3.7437 eV/atom